[1]
NaSmPO | PBE | optimized geometry

ΔE to the lowest computed polymorph	105.2	meV per atom
space-group type	Pmc2_1 (26)
total moment	0.003	μB/cell

POSCAR file:
```
NaSmPO
1.0
-1.060 3.508 0.552
-6.458 -1.236 -4.547
-3.070 -1.685 4.818
Na O P Sm
2 2 2 2
Cartesian
-2.749 -0.552 -1.772
-5.387 -1.605 -0.140
-3.321 -1.064 0.388
-7.070 -2.331 1.238
-7.200 0.023 -1.531
-4.394 0.011 3.934
-3.046 0.805 1.476
-8.621 -0.811 1.041
```

[2]
YAsOs2 | PBE | optimized geometry

space-group type	F-43m (216)
total moment	0.009	μB/cell
uncorrected energy	-7.9706	eV/atom

POSCAR file:
```
YAsOs2
1.0
0.000 3.272 3.272
3.272 0.000 3.272
3.272 3.272 0.000
As Os Y
1 2 1
Cartesian
3.272 3.272 3.272
0.000 0.000 0.000
4.907 4.907 4.907
1.636 1.636 1.636
```

[3]
ErPuRe | PBE | optimized geometry

ΔH_f (0 K)	0.99	eV/atom
space-group type	F-43m (216)
total moment	5.293	μB/cell

POSCAR file:
```
ErPuRe
1.0
-2.018 -3.500 2.110
-2.719 0.757 3.579
-4.501 -0.606 -0.388
Er Pu Re
1 1 1
Cartesian
-2.309 -0.837 1.325
0.000 0.000 0.000
-6.928 -2.512 3.975
```

[4]
InNi15 | PBE | optimized geometry

ΔE to the lowest computed polymorph	31.9	meV per atom
space-group type	P2_1/m (11)
total moment	17.228	μB/cell

POSCAR file:
```
InNi15
1.0
-3.722 -3.346 0.183
1.142 -1.162 1.969
-19.861 23.483 25.374
In Ni
2 30
Cartesian
-6.561 0.980 4.382
-16.452 18.578 22.161
-4.997 3.004 4.670
-6.195 2.555 6.758
-4.312 4.247 6.665
-8.535 3.313 6.903
-6.674 4.987 6.812
-6.026 6.247 8.839
-7.884 4.577 8.931
-10.233 5.321 9.072
-8.374 6.997 8.984
-7.712 8.245 10.996
-9.574 6.572 11.088
-11.927 7.324 11.236
-10.066 8.997 11.145
-11.263 8.570 13.246
-9.402 10.243 13.155
-11.746 10.983 13.291
-13.607 9.310 13.383
-12.950 10.564 15.401
-11.089 12.237 15.310
-13.435 12.980 15.449
-15.296 11.307 15.541
-14.639 12.561 17.558
-12.780 14.237 17.470
-16.988 13.311 17.704
-15.130 14.981 17.613
-16.338 14.569 19.729
-14.478 16.244 19.639
-18.699 15.310 19.876
-16.818 17.001 19.784
-18.016 16.554 21.873
```

[5]
Sr4TlHg | PBE | optimized geometry

space-group type	P4/mmm (123)
uncorrected energy	-1.9087	eV/atom

POSCAR file:
```
Sr4TlHg
1.0
-2.914 0.693 -2.745
-1.450 -3.748 0.593
-8.577 4.958 10.354
Hg Sr Tl
1 4 1
Cartesian
0.000 0.000 0.000
-3.316 -0.872 0.293
-3.098 1.791 3.740
-5.479 3.167 6.614
-9.625 2.774 7.909
-6.470 0.951 4.101
```

[6]
Nd3Cd3Ga2Au | PBE | optimized geometry

ΔE to the lowest computed polymorph	6.5	meV per atom
space-group type	P-62m (189)
total moment	0.005	μB/cell

POSCAR file:
```
Nd3Cd3Ga2Au
1.0
7.635 0.000 0.000
-3.818 6.612 0.000
0.000 0.000 4.294
Au Cd Ga Nd
1 3 2 3
Cartesian
0.000 0.000 0.000
1.940 0.000 2.147
-0.970 1.680 2.147
2.848 4.932 2.147
3.818 2.204 2.147
0.000 4.408 2.147
4.501 0.000 0.000
1.567 2.714 0.000
-2.250 3.898 0.000
```

[7]
SrCdSeO | PBE | optimized geometry

space-group type	P2_12_12_1 (19)
uncorrected energy	-4.3041	eV/atom

POSCAR file:
```
SrCdSeO
1.0
7.697 0.000 0.000
0.000 6.886 0.000
0.000 0.000 6.917
Cd O Se Sr
4 4 4 4
Cartesian
4.728 2.528 0.862
2.969 5.970 2.597
6.818 4.358 4.320
0.880 0.915 6.055
3.137 4.021 1.589
4.561 0.578 1.869
0.712 2.865 5.048
6.985 6.308 5.327
0.714 0.190 1.652
6.983 3.633 1.807
3.134 6.695 5.110
4.563 3.253 5.265
5.460 5.892 0.238
2.238 2.449 3.220
6.086 0.994 3.696
1.611 4.437 6.679
```

[8]
LiHfGaPd | PBE | optimized geometry

ΔE to the lowest computed polymorph	0.3	meV per atom
space-group type	F-43m (216)
total moment	0.001	μB/cell

POSCAR file:
```
LiHfGaPd
1.0
-1.518 -1.438 3.928
-0.101 2.758 3.491
-3.899 1.479 1.555
Ga Hf Li Pd
1 1 1 1
Cartesian
-2.759 1.400 4.487
0.000 0.000 0.000
-4.139 2.099 6.730
-1.380 0.700 2.243
```

[9]
LiThHg | PBE | optimized geometry

ΔE to the lowest computed polymorph	0.0	meV per atom
space-group type	F-43m (216)
total moment	0.001	μB/cell

POSCAR file:
```
LiThHg
1.0
0.000 3.489 3.489
3.489 0.000 3.489
3.489 3.489 0.000
Hg Li Th
1 1 1
Cartesian
0.000 0.000 0.000
1.744 1.744 1.744
5.233 5.233 5.233
```

[10]
SmPdO3 | PBE | optimized geometry

space-group type	P4mm (99)
total moment	0.000	μB/cell
uncorrected energy	-6.6045	eV/atom

POSCAR file:
```
SmPdO3
1.0
3.922 0.000 0.000
0.000 3.922 0.000
0.000 0.000 4.244
O Pd Sm
3 1 1
Cartesian
1.961 1.961 0.306
1.961 0.000 2.736
0.000 1.961 2.736
1.961 1.961 2.391
0.000 0.000 4.140
```

[11]
Tb4HgTe3 | PBE | optimized geometry

space-group type	Cmmm (65)
total moment	0.000	μB/cell
uncorrected energy	-4.6515	eV/atom

POSCAR file:
```
Tb4HgTe3
1.0
4.482 -6.182 0.000
4.482 6.182 0.000
0.000 0.000 4.248
Hg Tb Te
1 4 3
Cartesian
0.000 0.000 0.000
4.482 -3.177 0.000
4.482 3.177 0.000
2.140 0.000 2.124
6.823 0.000 2.124
4.482 0.000 0.000
2.241 -3.091 2.124
2.241 3.091 2.124
```

[12]
GdPtSO | PBE | optimized geometry

ΔE to the lowest computed polymorph	1.0	meV per atom
space-group type	Pbca (61)
total moment	0.020	μB/cell

POSCAR file:
```
GdPtSO
1.0
-6.304 -1.222 -0.447
1.311 -2.436 -11.846
1.276 -7.177 1.617
Gd O Pt S
8 8 8 8
Cartesian
-0.102 -1.481 -2.285
-1.542 -3.106 -8.357
-2.927 -3.928 -2.095
-4.368 -5.553 -8.167
0.651 -5.282 -2.509
-0.790 -6.906 -8.581
-2.175 -7.729 -2.319
-3.616 -9.353 -8.390
-4.241 -2.415 -3.019
-3.599 -3.635 -8.943
-0.773 -3.581 -2.395
-0.131 -4.801 -8.319
-3.586 -6.033 -2.357
-2.945 -7.254 -8.281
-0.118 -7.199 -1.733
0.524 -8.420 -7.657
-4.953 -1.027 -0.453
-3.809 -2.150 -6.341
-1.177 -3.923 0.561
-0.034 -5.046 -5.328
-3.684 -5.788 -5.348
-2.540 -6.912 -11.237
0.092 -8.684 -4.335
1.236 -9.808 -10.223
0.856 -2.710 -5.473
-1.532 -4.518 -11.612
-2.193 -3.899 -5.566
-4.581 -5.707 -11.705
0.864 -5.128 1.029
-1.524 -6.935 -5.110
-2.185 -6.317 0.936
-4.573 -8.125 -5.202
```

[13]
HoZn2Ni2 | PBE | optimized geometry

ΔH_f (0 K)	-0.29	eV/atom
space-group type	I4/mmm (139)
total moment	0.002	μB/cell

POSCAR file:
```
HoZn2Ni2
1.0
-1.956 1.956 5.188
1.956 -1.956 5.188
1.956 1.956 -5.188
Ho Ni Zn
1 2 2
Cartesian
0.000 0.000 0.000
0.000 1.956 2.594
1.956 0.000 2.594
0.000 0.000 3.964
0.000 0.000 6.411
```

[14]
NbGa | PBE | optimized geometry

space-group type	P6_3/mmc (194)
total moment	0.499	μB/cell
uncorrected energy	-6.3237	eV/atom

POSCAR file:
```
NbGa
1.0
3.533 0.000 0.000
-1.767 3.060 0.000
0.000 0.000 6.863
Ga Nb
2 2
Cartesian
1.767 1.020 1.716
0.000 2.040 5.147
0.000 0.000 0.000
0.000 0.000 3.431
```

[15]
InAu | PBE | optimized geometry

space-group type	P-6m2 (187)
uncorrected energy	-3.0631	eV/atom

POSCAR file:
```
InAu
1.0
3.281 0.000 0.000
-1.640 2.841 0.000
0.000 0.000 4.453
Au In
1 1
Cartesian
1.640 0.947 3.339
0.000 1.894 1.113
```